# 1
## AcNd2Ag (PBE-GGA)

Data for AcNd2Ag after structural relaxation.

Computed properties:
Formation energy from the elements, eV/atom: 0.0721
Energy above the lowest structure with this stoichiometry, eV per atom: 0.174
Space-group type: P4/mmm (123)

Geometry as POSCAR:
```
AcNd2Ag
1.0
-2.902 0.121 2.481
3.428 -2.235 4.119
1.582 5.356 1.589
Nd Ac Ag
2 1 1
Direct
0.000 0.500 0.000
0.000 0.000 0.500
0.500 0.500 0.500
0.500 0.000 0.000
```


# 2
## SrHF2 (PBE-GGA)

Data for SrHF2 after structural relaxation.

Computed properties:
Energy above the lowest structure with this stoichiometry, eV per atom: 0.000
Space-group type: Fm-3m (225)

Geometry as POSCAR:
```
SrHF2
1.0
1.448 -3.928 -0.304
-2.651 -3.159 -0.780
0.071 -1.928 -3.728
F Sr H
2 1 1
Direct
0.750 0.750 0.750
0.250 0.250 0.250
0.500 0.500 0.500
0.000 0.000 0.000
```


# 3
## Rb2Bi5Pt3 (PBE-GGA)

Data for Rb2Bi5Pt3 after structural relaxation.

Computed properties:
Formation energy from the elements, eV/atom: -0.2706
Space-group type: Ibam (72)

Geometry as POSCAR:
```
Rb2Bi5Pt3
1.0
7.267 0.000 0.000
3.634 9.219 0.504
3.634 1.920 9.031
Bi Rb Pt
10 4 6
Direct
0.900 0.962 0.238
0.009 0.741 0.741
0.509 0.741 0.741
0.400 0.238 0.962
0.991 0.259 0.259
0.750 0.500 0.500
0.100 0.038 0.762
0.600 0.762 0.038
0.491 0.259 0.259
0.250 0.500 0.500
0.867 0.379 0.888
0.633 0.112 0.621
0.133 0.621 0.112
0.367 0.888 0.379
0.250 0.000 0.000
0.750 0.000 0.000
0.623 0.489 0.266
0.377 0.511 0.734
0.877 0.734 0.511
0.123 0.266 0.489
```


# 4
## La6TeSe3S2 (PBE-GGA)

Data for La6TeSe3S2 after structural relaxation.

Computed properties:
Space-group type: C2/m (12)
Formation energy without anion corrections, meV/atom: -1962

Geometry as POSCAR:
```
La6TeSe3S2
1.0
-2.992 -1.033 -2.903
6.201 -2.694 -5.434
-0.575 -7.223 6.341
La S Se Te
6 2 3 1
Direct
0.670 0.575 0.340
0.993 0.732 0.986
0.330 0.425 0.660
0.007 0.268 0.014
0.673 0.101 0.347
0.327 0.899 0.653
0.169 0.336 0.338
0.831 0.664 0.662
0.162 0.832 0.324
0.500 0.500 0.000
0.838 0.168 0.676
0.500 0.000 0.000
```


# 5
## LuGeRh (PBE-GGA)

Data for LuGeRh after structural relaxation.

Computed properties:
Formation energy from the elements, eV/atom: -0.8847
Space-group type: P-6m2 (187)

Geometry as POSCAR:
```
LuGeRh
1.0
-2.863 1.847 -0.084
-2.310 -3.612 -0.688
0.755 1.355 4.056
Lu Ge Rh
1 1 1
Direct
0.667 0.667 0.333
0.166 0.333 0.667
0.167 0.000 0.000
```


# 6
## P2Pd13 (PBE-GGA)

Data for P2Pd13 after structural relaxation.

Computed properties:
Formation energy from the elements, eV/atom: -0.2389
Space-group type: P-1 (2)

Geometry as POSCAR:
```
P2Pd13
1.0
4.858 -0.174 0.054
-0.872 6.455 0.403
-0.405 -2.823 7.273
Pd P
13 2
Direct
0.671 0.203 0.808
0.640 0.646 0.415
0.547 0.222 0.154
0.329 0.797 0.192
0.780 0.101 0.446
0.777 0.604 0.067
0.223 0.396 0.933
0.220 0.899 0.554
0.000 0.000 0.000
0.360 0.354 0.585
0.919 0.562 0.707
0.081 0.438 0.293
0.453 0.778 0.846
0.806 0.885 0.685
0.194 0.115 0.315
```


# 7
## Pm15Pr4Al (PBE-GGA)

Data for Pm15Pr4Al after structural relaxation.

Computed properties:
Formation energy from the elements, eV/atom: -0.0095
Space-group type: P4/mmm (123)

Geometry as POSCAR:
```
Pm15Pr4Al
1.0
5.100 0.000 0.000
0.000 5.100 0.000
0.000 0.000 25.870
Pm Pr Al
15 4 1
Direct
0.500 0.500 0.000
0.000 0.500 0.296
0.000 0.500 0.092
0.500 0.000 0.500
0.000 0.500 0.500
0.000 0.500 0.908
0.500 0.500 0.398
0.500 0.000 0.296
0.000 0.500 0.704
0.500 0.500 0.193
0.500 0.500 0.602
0.500 0.000 0.908
0.500 0.500 0.807
0.500 0.000 0.092
0.500 0.000 0.704
0.000 0.000 0.399
0.000 0.000 0.601
0.000 0.000 0.195
0.000 0.000 0.805
0.000 0.000 0.000
```


# 8
## Th4ZrSc3 (PBE-GGA)

Data for Th4ZrSc3 after structural relaxation.

Computed properties:
Formation energy from the elements, eV/atom: 0.0708
Space-group type: Pmma (51)

Geometry as POSCAR:
```
Th4ZrSc3
1.0
-2.134 -0.160 5.455
-0.346 -6.913 -0.338
10.392 -0.718 4.043
Zr Th Sc
2 8 6
Direct
0.000 0.500 0.000
0.000 0.500 0.500
0.152 0.746 0.750
0.848 0.746 0.250
0.152 0.254 0.750
0.848 0.254 0.250
0.500 0.249 0.500
0.500 0.751 0.500
0.500 0.751 0.000
0.500 0.249 0.000
0.326 0.500 0.250
0.000 0.000 0.000
0.334 0.000 0.250
0.674 0.500 0.750
0.666 0.000 0.750
0.000 0.000 0.500
```


Across the entries above, total moment takes the values 0.0000 0.2500 0.0000 0.0000 0.0000 0.0000 0.0000 0.0000 μB/atom, respectively.